Below is a relaxed Y3TlO crystal, with properties calculated at the PBE-GGA level.

Cell and atoms, written as POSCAR:
```
Y3TlO
1.0
3.629 0.000 0.000
0.000 3.557 -5.137
0.000 3.557 5.137
Y O Tl
3 1 1
direct
0.500 0.165 0.354 Y
0.500 0.646 0.835 Y
0.000 0.146 0.854 Y
0.500 0.020 0.980 O
0.000 0.651 0.349 Tl
```

## Properties
For the formation energy (no corrections), the calculation gives -6.0 eV/f.u. For the final energy, the calculation gives -6.54 eV per atom. The space group is Amm2 (38). As for the total magnetic moment: 1.54 μB per formula unit.